An optimized crystal structure of CaHS. Source: Alexandria via LeMat-Bulk, functional PBE.

The volume is 115.8 Å³ per cell. The electronic total energy comes out at -4.485 eV/atom. Its total magnetic moment is 0.000 μB/atom.

a b c (Å): 4.755 4.774 5.655
angles (deg): 89.62 89.72 64.43
Space group P-1 (No. 2)
One atom of each set of equivalent atoms:
Ca1 0.174 0.176 0.250 (multiplicity 2)
H1 0.467 0.462 0.955 (multiplicity 2)
S1 0.174 0.174 0.745 (multiplicity 2)

=====

An optimized crystal structure of Ca2H6S. Source: Alexandria via LeMat-Bulk, functional PBE.

The volume is 354.0 Å³ per cell. The electronic total energy comes out at -3.145 eV/atom. Its total magnetic moment is 0.000 μB/atom.

a b c (Å): 7.074 7.074 7.074
angles (deg): 90.00 90.00 90.00
Space group Fm-3m (No. 225)
One atom of each set of equivalent atoms:
Ca1 0.250 0.250 0.250 (multiplicity 8)
H1 0.000 0.000 0.136 (multiplicity 24)
S1 0.000 0.000 0.500 (multiplicity 4)

=====

Q: Which of these has the lowest electronic total energy?
A: CaHS

=====

Q: Look up the volume of the second one.
A: 354.0 Å³ per cell

=====

Q: Look up the total magnetic moment of the first one.
A: 0.000 μB/atom

=====

Q: Which of these has the lowest electronic total energy?
A: CaHS